(1)
Below is Ac3SiBr3 after structural relaxation, with properties calculated at the PBE level.

abc: 6.3378 6.3378 6.3378
angles: 90.00 90.00 90.00
Closest atoms and distances in Å follow each position.
Space group Pm-3m (No. 221)
Unique sites:
1 Ac 0.0000 0.0000 0.5000 x3  4 Br 3.17, 2 Si 3.17
2 Si 0.0000 0.0000 0.0000 x1  6 Ac 3.17
3 Br 0.0000 0.5000 0.5000 x3  4 Ac 3.17

Results
E   -4.591 eV per atom
E above lowest polymorph   0.0770 eV/atom
Energy relative to the elements, uncorrected   -1.338 eV/atom
Total moment   0.00 μB per cell
Fermi-level density of states   3.0 states/eV/f.u.

---

(2)
Below is Ac2SiBr after structural relaxation, with properties calculated at the PBE level.

abc: 4.4785 4.4785 24.3494
angles: 90.00 90.00 120.00
Closest atoms and distances in Å follow each position.
Space group R3m (No. 160, hexagonal axes)
Unique sites:
1 Ac 0.0000 0.0000 0.0000 x3  3 Si 3.09
2 Ac 0.0000 0.0000 0.1958 x3  3 Si 3.07
3 Si 0.0000 0.0000 0.5973 x3  6 Ac 3.07-3.09
4 Br 0.0000 0.0000 0.7673 x3  6 Ac 3.47-3.56

Results
E   -4.843 eV per atom
E above lowest polymorph   0.0386 eV/atom
Energy relative to the elements, uncorrected   -1.014 eV/atom
Total moment   0.00 μB per cell
Fermi-level density of states   2.4 states/eV/f.u.

---

(3)
Below is Ac2Si2Br after structural relaxation, with properties calculated at the PBE level.

abc: 8.5233 17.7385 4.0810
angles: 90.00 90.00 90.00
Closest atoms and distances in Å follow each position.
Space group Imma (No. 74)
Unique sites:
1 Ac 0.2500 0.1039 0.2500 x8  6 Si 3.17-3.29, 2 Br 3.36
2 Si 0.0000 0.0378 0.7500 x8  2 Si 2.44
3 Br 0.0000 0.2500 0.2481 x4  4 Ac 3.36

Results
E   -5.126 eV per atom
Energy relative to the elements, uncorrected   -0.979 eV/atom
Total moment   0.00 μB per cell
Fermi-level density of states   0.9 states/eV/f.u.

---

(4)
Below is Ac2SiBr after structural relaxation, with properties calculated at the PBE level.

abc: 3.8652 3.8652 8.1249
angles: 90.00 90.00 90.00
Closest atoms and distances in Å follow each position.
Space group P4/mmm (No. 123)
Unique sites:
1 Ac 0.0000 0.0000 0.2184 x2  4 Si 3.26, 1 Ac 3.55, 4 Br 3.56
2 Si 0.5000 0.5000 0.0000 x1  8 Ac 3.26
3 Br 0.5000 0.5000 0.5000 x1  8 Ac 3.56, 4 Br 3.87

Results
E   -4.646 eV per atom
E above lowest polymorph   0.2347 eV/atom
Energy relative to the elements, uncorrected   -0.818 eV/atom
Total moment   0.00 μB per cell
Fermi-level density of states   4.4 states/eV/f.u.